No. 1
Compound: NaBeC
Source: Alexandria via LeMat-Bulk
Functional: PBE
Structure: relaxed

Properties
Final energy: -26.89 eV for the cell shown
SG: P1 (1)
Formation energy: 0.274 eV/atom
Theoretical density: 1.50 g cm⁻³
Relative energy among the computed polymorphs: 4 meV/atom

Unit cell a=3.280 b=4.229 c=7.944 alpha=75.06 beta=79.02 gamma=67.23
Fractional coordinates of all 6 atoms:
Na: 0.000 0.000 0.000
Na: 0.404 0.610 0.623
Be: 0.170 0.402 0.278
Be: 0.774 0.148 0.328
C: 0.382 0.958 0.298
C: 0.566 0.598 0.289

=====

No. 2
Compound: NaBeC
Source: Alexandria via LeMat-Bulk
Functional: PBE
Structure: relaxed

Properties
Final energy: -26.92 eV for the cell shown
SG: P-1 (2)
Formation energy: 0.270 eV/atom
Theoretical density: 1.45 g cm⁻³
Relative energy among the computed polymorphs: 0 meV/atom

Unit cell a=3.316 b=4.222 c=8.121 alpha=103.74 beta=90.40 gamma=113.04
Fractional coordinates of all 6 atoms:
Na: 0.090 0.173 0.320
Na: 0.910 0.827 0.680
Be: 0.310 0.620 0.997
Be: 0.690 0.380 0.003
C: 0.092 0.182 0.000
C: 0.908 0.818 0.000

=====

No. 3
Compound: NaBeC
Source: Alexandria via LeMat-Bulk
Functional: PBE
Structure: relaxed

Properties
Final energy: -12.51 eV for the cell shown
SG: Amm2 (38)
Formation energy: 0.586 eV/atom
Theoretical density: 2.08 g cm⁻³
Relative energy among the computed polymorphs: 315 meV/atom

Unit cell a=4.378 b=3.268 c=3.268 alpha=48.65 beta=90.00 gamma=90.00
Fractional coordinates of all 3 atoms:
Na: 0.000 0.000 0.000
Be: 0.500 0.311 0.311
C: 0.500 0.606 0.606

=====

No. 4
Compound: NaBeC
Source: Alexandria via LeMat-Bulk
Functional: PBE
Structure: relaxed

Properties
Final energy: -25.32 eV for the cell shown
SG: C2/m (12)
Formation energy: 0.537 eV/atom
Theoretical density: 1.79 g cm⁻³
Relative energy among the computed polymorphs: 267 meV/atom

Unit cell a=5.114 b=5.114 c=6.021 alpha=118.74 beta=118.74 gamma=36.91
Fractional coordinates of all 6 atoms:
Na: 0.079 0.079 0.343
Na: 0.921 0.921 0.657
Be: 0.236 0.236 0.868
Be: 0.764 0.764 0.132
C: 0.303 0.303 0.225
C: 0.697 0.697 0.775

=====

No. 5
Compound: NaBeC
Source: Alexandria via LeMat-Bulk
Functional: PBE
Structure: relaxed

Properties
Final energy: -26.79 eV for the cell shown
SG: P-1 (2)
Formation energy: 0.291 eV/atom
Theoretical density: 1.62 g cm⁻³
Relative energy among the computed polymorphs: 20 meV/atom

Unit cell a=3.341 b=3.414 c=8.282 alpha=90.65 beta=92.44 gamma=106.85
Fractional coordinates of all 6 atoms:
Na: 0.221 0.245 0.315
Na: 0.779 0.755 0.685
Be: 0.204 0.298 0.981
Be: 0.796 0.702 0.019
C: 0.341 0.843 0.947
C: 0.659 0.157 0.053

=====

No. 6
Compound: NaBeC3
Source: Alexandria via LeMat-Bulk
Functional: PBE
Structure: relaxed

Properties
Final energy: -12.66 eV for the cell shown
SG: Pm-3m (221)
Formation energy: 4.011 eV/atom
Theoretical density: 1.52 g cm⁻³
Relative energy among the computed polymorphs: 1795 meV/atom

Unit cell a=4.202 b=4.202 c=4.202 alpha=90.00 beta=90.00 gamma=90.00
Fractional coordinates of all 5 atoms:
Na: 0.000 0.000 0.000
Be: 0.500 0.500 0.500
C: 0.000 0.000 0.500
C: 0.000 0.500 0.000
C: 0.500 0.000 0.000

=====

No. 7
Compound: Na2BeC
Source: Alexandria via LeMat-Bulk
Functional: PBE
Structure: relaxed

Properties
Final energy: -9.35 eV for the cell shown
SG: Fm-3m (225)
Formation energy: 1.560 eV/atom
Theoretical density: 1.85 g cm⁻³
Relative energy among the computed polymorphs: 1209 meV/atom

Unit cell a=4.400 b=4.400 c=4.400 alpha=60.00 beta=60.00 gamma=60.00
Fractional coordinates of all 4 atoms:
Na: 0.250 0.250 0.250
Na: 0.750 0.750 0.750
Be: 0.000 0.000 0.000
C: 0.500 0.500 0.500

=====

No. 8
Compound: NaBe2C
Source: Alexandria via LeMat-Bulk
Functional: PBE
Structure: relaxed

Properties
Final energy: -32.91 eV for the cell shown
SG: I4_1/amd (141)
Formation energy: 0.385 eV/atom
Theoretical density: 1.49 g cm⁻³

Unit cell a=5.487 b=5.487 c=5.487 alpha=119.11 beta=119.11 gamma=91.54
Fractional coordinates of all 8 atoms:
Na: 0.375 0.625 0.750
Na: 0.625 0.375 0.250
Be: 0.000 0.000 0.000
Be: 0.000 0.000 0.500
Be: 0.000 0.500 0.000
Be: 0.500 0.000 0.500
C: 0.125 0.875 0.250
C: 0.875 0.125 0.750

=====

No. 9
Compound: NaBeC
Source: Alexandria via LeMat-Bulk
Functional: PBE
Structure: relaxed

Properties
Final energy: -26.78 eV for the cell shown
SG: C2/m (12)
Formation energy: 0.294 eV/atom
Theoretical density: 1.52 g cm⁻³
Relative energy among the computed polymorphs: 23 meV/atom

Unit cell a=3.553 b=3.553 c=8.469 alpha=105.50 beta=105.50 gamma=72.90
Fractional coordinates of all 6 atoms:
Na: 0.158 0.158 0.324
Na: 0.842 0.842 0.676
Be: 0.306 0.306 0.000
Be: 0.694 0.694 0.000
C: 0.170 0.830 0.000
C: 0.830 0.170 0.000

=====

No. 10
Compound: Na2BeC
Source: Alexandria via LeMat-Bulk
Functional: PBE
Structure: relaxed

Properties
Final energy: -28.37 eV for the cell shown
SG: I-42d (122)
Formation energy: 0.351 eV/atom
Theoretical density: 1.35 g cm⁻³
Relative energy among the computed polymorphs: 0 meV/atom

Unit cell a=7.254 b=7.254 c=7.254 alpha=92.98 beta=92.98 gamma=153.64
Fractional coordinates of all 8 atoms:
Na: 0.375 0.123 0.248
Na: 0.873 0.625 0.748
Na: 0.875 0.127 0.752
Na: 0.877 0.125 0.252
Be: 0.250 0.750 0.500
Be: 0.500 0.500 0.000
C: 0.000 0.000 0.000
C: 0.750 0.250 0.500

=====

No. 11
Compound: NaBeC
Source: Alexandria via LeMat-Bulk
Functional: PBE
Structure: relaxed

Properties
Final energy: -26.82 eV for the cell shown
SG: Immm (71)
Formation energy: 0.286 eV/atom
Theoretical density: 1.78 g cm⁻³
Relative energy among the computed polymorphs: 16 meV/atom

Unit cell a=5.520 b=5.520 c=5.520 alpha=136.04 beta=134.46 gamma=65.16
Fractional coordinates of all 6 atoms:
Na: 0.178 0.178 0.000
Na: 0.822 0.822 0.000
Be: 0.500 0.261 0.761
Be: 0.500 0.739 0.239
C: 0.156 0.500 0.656
C: 0.844 0.500 0.344

=====

No. 12
Compound: NaBeC3
Source: Alexandria via LeMat-Bulk
Functional: PBE
Structure: relaxed

Properties
Final energy: -21.64 eV for the cell shown
SG: Pm-3m (221)
Formation energy: 2.216 eV/atom
Theoretical density: 2.13 g cm⁻³
Relative energy among the computed polymorphs: 0 meV/atom

Unit cell a=3.756 b=3.756 c=3.756 alpha=90.00 beta=90.00 gamma=90.00
Fractional coordinates of all 5 atoms:
Na: 0.000 0.000 0.000
Be: 0.500 0.500 0.500
C: 0.000 0.500 0.500
C: 0.500 0.000 0.500
C: 0.500 0.500 0.000

=====

No. 13
Compound: NaBeC2O
Source: Alexandria via LeMat-Bulk
Functional: PBE
Structure: relaxed

Properties
Final energy: -21.05 eV for the cell shown
SG: P4/mmm (123)
Theoretical density: 2.03 g cm⁻³

Unit cell a=4.510 b=4.510 c=2.898 alpha=90.00 beta=90.00 gamma=90.00
Fractional coordinates of all 5 atoms:
Na: 0.000 0.000 0.000
Be: 0.500 0.500 0.000
C: 0.000 0.500 0.500
C: 0.500 0.000 0.500
O: 0.500 0.500 0.500

=====

No. 14
Compound: Na2BeC2O6
Source: Alexandria via LeMat-Bulk
Functional: PBE
Structure: relaxed

Properties
Final energy: -73.02 eV for the cell shown
SG: C2/m (12)
Theoretical density: 2.46 g cm⁻³

Unit cell a=5.538 b=5.538 c=5.832 alpha=116.69 beta=116.69 gamma=49.51
Fractional coordinates of all 11 atoms:
Na: 0.198 0.198 0.183
Na: 0.802 0.802 0.817
Be: 0.000 0.000 0.500
C: 0.485 0.485 0.723
C: 0.515 0.515 0.277
O: 0.199 0.683 0.255
O: 0.317 0.801 0.745
O: 0.350 0.350 0.687
O: 0.650 0.650 0.313
O: 0.683 0.199 0.255
O: 0.801 0.317 0.745

=====

No. 15
Compound: NaBeSnC2
Source: Alexandria via LeMat-Bulk
Functional: PBE
Structure: relaxed

Properties
Final energy: -13.75 eV for the cell shown
SG: P4/mmm (123)
Formation energy: 2.748 eV/atom
Theoretical density: 3.60 g cm⁻³

Unit cell a=4.298 b=4.298 c=4.359 alpha=90.00 beta=90.00 gamma=90.00
Fractional coordinates of all 5 atoms:
Na: 0.000 0.000 0.000
Be: 0.000 0.000 0.500
Sn: 0.500 0.500 0.500
C: 0.000 0.500 0.000
C: 0.500 0.000 0.000

=====

No. 16
Compound: NaY2BeC
Source: Alexandria via LeMat-Bulk
Functional: PBE
Structure: relaxed

Properties
Final energy: -24.26 eV for the cell shown
SG: P4/mmm (123)
Formation energy: 0.587 eV/atom
Theoretical density: 3.58 g cm⁻³

Unit cell a=5.591 b=5.591 c=3.290 alpha=90.00 beta=90.00 gamma=90.00
Fractional coordinates of all 5 atoms:
Na: 0.000 0.000 0.000
Y: 0.000 0.500 0.500
Y: 0.500 0.000 0.500
Be: 0.500 0.500 0.500
C: 0.500 0.500 0.000

=====

No. 17
Compound: Be2NbC
Source: Alexandria via LeMat-Bulk
Functional: PBE
Structure: relaxed

Properties
Final energy: -51.75 eV for the cell shown
SG: I-42d (122)
Formation energy: 0.218 eV/atom
Theoretical density: 4.92 g cm⁻³

Unit cell a=4.872 b=4.872 c=4.872 alpha=101.70 beta=101.70 gamma=126.48
Fractional coordinates of all 8 atoms:
Be: 0.030 0.625 0.905
Be: 0.375 0.280 0.405
Be: 0.720 0.125 0.095
Be: 0.875 0.970 0.595
Nb: 0.250 0.750 0.500
Nb: 0.500 0.500 0.000
C: 0.000 0.000 0.000
C: 0.750 0.250 0.500

=====

No. 18
Compound: Be3Nb3C
Source: Alexandria via LeMat-Bulk
Functional: PBE
Structure: relaxed

Properties
Final energy: -208.77 eV for the cell shown
SG: Fd-3m (227)
Formation energy: -0.226 eV/atom
Theoretical density: 5.89 g cm⁻³

Unit cell a=7.974 b=7.974 c=7.974 alpha=60.00 beta=60.00 gamma=60.00
Fractional coordinates of all 28 atoms:
Be: 0.000 0.000 0.000
Be: 0.000 0.000 0.500
Be: 0.000 0.500 0.000
Be: 0.103 0.799 0.799
Be: 0.201 0.201 0.201
Be: 0.201 0.201 0.897
Be: 0.201 0.897 0.201
Be: 0.500 0.000 0.000
Be: 0.799 0.103 0.799
Be: 0.799 0.799 0.103
Be: 0.799 0.799 0.799
Be: 0.897 0.201 0.201
Nb: 0.182 0.182 0.568
Nb: 0.182 0.568 0.182
Nb: 0.182 0.568 0.568
Nb: 0.432 0.432 0.818
Nb: 0.432 0.818 0.432
Nb: 0.432 0.818 0.818
Nb: 0.568 0.182 0.182
Nb: 0.568 0.182 0.568
Nb: 0.568 0.568 0.182
Nb: 0.818 0.432 0.432
Nb: 0.818 0.432 0.818
Nb: 0.818 0.818 0.432
C: 0.000 0.500 0.500
C: 0.500 0.000 0.500
C: 0.500 0.500 0.000
C: 0.500 0.500 0.500

=====

No. 19
Compound: BeNb4C2
Source: Alexandria via LeMat-Bulk
Functional: PBE
Structure: relaxed

Properties
Final energy: -131.30 eV for the cell shown
SG: Cmcm (63)
Formation energy: -0.457 eV/atom
Theoretical density: 7.22 g cm⁻³

Unit cell a=5.478 b=5.478 c=10.984 alpha=90.00 beta=90.00 gamma=145.61
Fractional coordinates of all 14 atoms:
Be: 0.107 0.893 0.750
Be: 0.893 0.107 0.250
Nb: 0.000 0.000 0.000
Nb: 0.000 0.000 0.500
Nb: 0.267 0.733 0.113
Nb: 0.267 0.733 0.387
Nb: 0.435 0.565 0.750
Nb: 0.565 0.435 0.250
Nb: 0.733 0.267 0.613
Nb: 0.733 0.267 0.887
C: 0.363 0.637 0.563
C: 0.363 0.637 0.937
C: 0.637 0.363 0.063
C: 0.637 0.363 0.437

=====

No. 20
Compound: BeNb4C
Source: Alexandria via LeMat-Bulk
Functional: PBE
Structure: relaxed

Properties
Final energy: -107.55 eV for the cell shown
SG: C2/c (15)
Formation energy: -0.091 eV/atom
Theoretical density: 7.29 g cm⁻³

Unit cell a=6.701 b=6.701 c=5.313 alpha=102.63 beta=102.63 gamma=50.63
Fractional coordinates of all 12 atoms:
Be: 0.007 0.993 0.750
Be: 0.993 0.007 0.250
Nb: 0.065 0.299 0.608
Nb: 0.267 0.561 0.971
Nb: 0.299 0.065 0.108
Nb: 0.439 0.733 0.529
Nb: 0.561 0.267 0.471
Nb: 0.701 0.935 0.892
Nb: 0.733 0.439 0.029
Nb: 0.935 0.701 0.392
C: 0.000 0.500 0.000
C: 0.500 0.000 0.500

=====

No. 21
Compound: BeNbC2
Source: Alexandria via LeMat-Bulk
Functional: PBE
Structure: relaxed

Properties
Final energy: -60.53 eV for the cell shown
SG: I-42d (122)
Formation energy: 0.495 eV/atom
Theoretical density: 5.48 g cm⁻³

Unit cell a=4.632 b=4.632 c=4.632 alpha=110.86 beta=110.86 gamma=106.73
Fractional coordinates of all 8 atoms:
Be: 0.000 0.000 0.000
Be: 0.750 0.250 0.500
Nb: 0.250 0.750 0.500
Nb: 0.500 0.500 0.000
C: 0.070 0.625 0.945
C: 0.375 0.320 0.445
C: 0.680 0.125 0.055
C: 0.875 0.930 0.555

=====

No. 22
Compound: BeNbC3
Source: Alexandria via LeMat-Bulk
Functional: PBE
Structure: relaxed

Properties
Final energy: -29.70 eV for the cell shown
SG: Pm-3m (221)
Formation energy: 2.354 eV/atom
Theoretical density: 3.16 g cm⁻³
Relative energy among the computed polymorphs: 673 meV/atom

Unit cell a=4.171 b=4.171 c=4.171 alpha=90.00 beta=90.00 gamma=90.00
Fractional coordinates of all 5 atoms:
Be: 0.000 0.000 0.000
Nb: 0.500 0.500 0.500
C: 0.000 0.500 0.500
C: 0.500 0.000 0.500
C: 0.500 0.500 0.000

=====

No. 23
Compound: Be3NbC
Source: Alexandria via LeMat-Bulk
Functional: PBE
Structure: relaxed

Properties
Final energy: -27.90 eV for the cell shown
SG: Pm-3m (221)
Formation energy: 0.514 eV/atom
Theoretical density: 4.44 g cm⁻³
Relative energy among the computed polymorphs: 0 meV/atom

Unit cell a=3.667 b=3.667 c=3.667 alpha=90.00 beta=90.00 gamma=90.00
Fractional coordinates of all 5 atoms:
Be: 0.000 0.000 0.500
Be: 0.000 0.500 0.000
Be: 0.500 0.000 0.000
Nb: 0.500 0.500 0.500
C: 0.000 0.000 0.000

=====

No. 24
Compound: Be3NbC
Source: Alexandria via LeMat-Bulk
Functional: PBE
Structure: relaxed

Properties
Final energy: -16.19 eV for the cell shown
SG: Pm-3m (221)
Formation energy: 2.857 eV/atom
Theoretical density: 2.52 g cm⁻³
Relative energy among the computed polymorphs: 2343 meV/atom

Unit cell a=4.433 b=4.433 c=4.433 alpha=90.00 beta=90.00 gamma=90.00
Fractional coordinates of all 5 atoms:
Be: 0.000 0.000 0.500
Be: 0.000 0.500 0.000
Be: 0.500 0.000 0.000
Nb: 0.000 0.000 0.000
C: 0.500 0.500 0.500